# 1
# PBE Th3Si4Os2, relaxed
data_Th3Si4Os2
_chemical_formula_sum 'Th6 Si8 Os4'
_symmetry_space_group_name_H-M 'C 1 2/m 1'
_symmetry_Int_Tables_number 12
_cell_length_a 11.096
_cell_length_b 4.236
_cell_length_c 8.267
_cell_angle_alpha 90.00
_cell_angle_beta 108.40
_cell_angle_gamma 90.00
loop_
_symmetry_equiv_pos_as_xyz
'x,y,z'
'-x,-y,-z'
'-x,y,-z'
'x,-y,z'
'x+1/2,y+1/2,z'
'-x+1/2,-y+1/2,-z'
'-x+1/2,y+1/2,-z'
'x+1/2,-y+1/2,z'
loop_
_atom_site_label
_atom_site_fract_x
_atom_site_fract_y
_atom_site_fract_z
Th1 0.000 0.000 0.000
Th2 0.116 0.500 0.697
Si1 0.106 0.000 0.400
Si2 0.215 0.500 0.076
Os1 0.194 0.500 0.359
# Energy above the most stable polymorph in this dataset = 14 meV per atom
# Magnetization = 0.0 Bohr magnetons per cell
# Uncorrected formation energy = -0.71 eV/atom

***

# 2
# PBE Th3Si4Os2, relaxed
data_Th3Si4Os2
_chemical_formula_sum 'Th6 Si8 Os4'
_symmetry_space_group_name_H-M 'C 1 2/m 1'
_symmetry_Int_Tables_number 12
_cell_length_a 11.187
_cell_length_b 4.168
_cell_length_c 8.217
_cell_angle_alpha 90.00
_cell_angle_beta 102.35
_cell_angle_gamma 90.00
loop_
_symmetry_equiv_pos_as_xyz
'x,y,z'
'-x,-y,-z'
'-x,y,-z'
'x,-y,z'
'x+1/2,y+1/2,z'
'-x+1/2,-y+1/2,-z'
'-x+1/2,y+1/2,-z'
'x+1/2,-y+1/2,z'
loop_
_atom_site_label
_atom_site_fract_x
_atom_site_fract_y
_atom_site_fract_z
Th1 0.000 0.000 0.000
Th2 0.169 0.500 0.654
Si1 0.050 0.000 0.384
Si2 0.230 0.500 0.069
Os1 0.100 0.500 0.269
# Energy above the most stable polymorph in this dataset = 0 meV per atom
# Magnetization = 0.0 Bohr magnetons per cell
# Uncorrected formation energy = -0.72 eV/atom

***

# 3
# PBE ThSi4Os2, relaxed
data_ThSi4Os2
_chemical_formula_sum 'Th4 Si16 Os8'
_symmetry_space_group_name_H-M 'P n m a'
_symmetry_Int_Tables_number 62
_cell_length_a 17.013
_cell_length_b 4.236
_cell_length_c 6.448
_cell_angle_alpha 90.00
_cell_angle_beta 90.00
_cell_angle_gamma 90.00
loop_
_symmetry_equiv_pos_as_xyz
'x,y,z'
'-x,-y,-z'
'-x+1/2,-y,z+1/2'
'x+1/2,y,-z+1/2'
'x+1/2,-y+1/2,-z+1/2'
'-x+1/2,y+1/2,z+1/2'
'-x,y+1/2,-z'
'x,-y+1/2,z'
loop_
_atom_site_label
_atom_site_fract_x
_atom_site_fract_y
_atom_site_fract_z
Th1 0.140 0.250 0.026
Si1 0.028 0.750 0.145
Si2 0.065 0.250 0.527
Si3 0.186 0.750 0.711
Si4 0.194 0.750 0.307
Os1 0.035 0.750 0.753
Os2 0.211 0.250 0.505
# Magnetization = 0.0 Bohr magnetons per cell
# Uncorrected formation energy = -0.52 eV/atom

***

# 4
# PBE Th3Si2Os, relaxed
data_Th3Si2Os
_chemical_formula_sum 'Th12 Si8 Os4'
_symmetry_space_group_name_H-M 'P n m a'
_symmetry_Int_Tables_number 62
_cell_length_a 11.803
_cell_length_b 4.272
_cell_length_c 11.629
_cell_angle_alpha 90.00
_cell_angle_beta 90.00
_cell_angle_gamma 90.00
loop_
_symmetry_equiv_pos_as_xyz
'x,y,z'
'-x,-y,-z'
'-x+1/2,-y,z+1/2'
'x+1/2,y,-z+1/2'
'x+1/2,-y+1/2,-z+1/2'
'-x+1/2,y+1/2,z+1/2'
'-x,y+1/2,-z'
'x,-y+1/2,z'
loop_
_atom_site_label
_atom_site_fract_x
_atom_site_fract_y
_atom_site_fract_z
Th1 0.055 0.250 0.125
Th2 0.121 0.750 0.561
Th3 0.212 0.250 0.802
Si1 0.023 0.750 0.314
Si2 0.194 0.750 0.000
Os1 0.131 0.250 0.369
# Magnetization = 0.0 Bohr magnetons per cell
# Uncorrected formation energy = -0.62 eV/atom

***

Computed uncorrected energy, in the same sequence as the records: -8.09, -8.10, -7.89, -8.01 eV/atom.